No. 1
Computed, not measured: an optimized crystal structure of Cs3CuAu2I9 at the PBE level of DFT.

a = 8.1833 Å, b = 8.1833 Å, c = 10.0307 Å
α = 90.00°, β = 90.00°, γ = 120.00°
Sites, in units of the cell vectors:
1 Cs 0.3333 0.6667 0.6631
2 Cs 0.0000 0.0000 0.0000
3 Cs 0.6667 0.3333 0.3369
4 Cu 0.0000 0.0000 0.5000
5 Au 0.3333 0.6667 0.1707
6 Au 0.6667 0.3333 0.8293
7 I 0.8368 0.1632 0.6636
8 I 0.8368 0.6737 0.6636
9 I 0.3263 0.1632 0.6636
10 I 0.6737 0.8368 0.3364
11 I 0.1632 0.3263 0.3364
12 I 0.1632 0.8368 0.3364
13 I 0.5000 0.0000 0.0000
14 I 0.0000 0.5000 0.0000
15 I 0.5000 0.5000 0.0000

Properties
E_form (uncorrected), meV/atom: -647
N(E_F), states/eV/cell: 4.89
Size of the total moment, Bohr magnetons per cell: 0.00

---

No. 2
Computed, not measured: an optimized crystal structure of TlMoPOsRu at the PBE level of DFT.

a = 2.9751 Å, b = 5.5799 Å, c = 5.8620 Å
α = 106.76°, β = 104.65°, γ = 105.43°
Sites, in units of the cell vectors:
1 Tl 0.5595 0.8495 0.2930
2 Mo 0.3060 0.8550 0.7828
3 P 0.5418 0.4609 0.6479
4 Os 0.0701 0.2888 0.8781
5 Ru 0.8345 0.3852 0.3082

Properties
Formation energy, meV/atom: 254
N(E_F), states/eV/cell: 3.96
Size of the total moment, Bohr magnetons per cell: 0.00
ΔE to the lowest computed polymorph, eV per formula unit: 0.99

---

No. 3
Computed, not measured: an optimized crystal structure of SrLi2NbBr at the PBE level of DFT.

a = 6.0742 Å, b = 5.4977 Å, c = 6.0742 Å
α = 90.00°, β = 90.00°, γ = 90.00°
Site moments in Bohr magnetons follow the coordinates.
Sites, in units of the cell vectors:
1 Sr 0.0000 0.0000 0.0000  -0.02
2 Nb 0.5000 0.5000 0.5000  3.04
3 Br 0.0000 0.5000 0.0000  0.04
4 Li 0.0000 0.0000 0.5000  0.00
5 Li 0.5000 0.0000 0.0000  0.01

Properties
E_form (uncorrected), meV/atom: 984
N(E_F), states/eV/cell: 2.54
Size of the total moment, Bohr magnetons per cell: 4.43

---

| no. | calculated total energy (eV per cell) |
| --- | --- |
| 1 | -36.9 |
| 2 | -37.8 |
| 3 | -12.3 |